[1]
The following is a DFT calculation (GGA-PBE) of a relaxed NaCd2Tc crystal.

Cell: 6.8354 6.8354 6.8354 Å, 90.00 90.00 90.00°
Space group Fm-3m (No. 225)
Unique sites:
Na1 0.0000 0.0000 0.0000 (multiplicity 4)
Cd1 0.2500 0.2500 0.2500 (multiplicity 8)
Tc1 0.0000 0.0000 0.5000 (multiplicity 4)

Results
Energy relative to the lowest polymorph listed for this composition, eV/f.u.: 0.00
E_form, eV per atom: 0.493



[2]
The following is a DFT calculation (GGA-PBE) of a relaxed Sr2PuAg crystal.

Cell: 3.8316 3.8316 35.9215 Å, 90.00 90.00 120.00°
Space group R-3m (No. 166, hexagonal axes)
Unique sites:
Sr1 0.0000 0.0000 0.1008 (multiplicity 6)
Pu1 0.0000 0.0000 0.0000 (multiplicity 3)
Ag1 0.0000 0.0000 0.5000 (multiplicity 3)

Results
E_form, eV per atom: 0.374



[3]
The following is a DFT calculation (GGA-PBE) of a relaxed PrNdNi3 crystal.

Cell: 4.0073 24.7794 4.0651 Å, 90.00 90.00 90.00°
Space group Cmcm (No. 63)
Unique sites:
Pr1 0.0000 0.0700 0.2500 (multiplicity 4)
Nd1 0.0000 0.2017 0.7500 (multiplicity 4)
Ni1 0.0000 0.3283 0.7500 (multiplicity 4)
Ni2 0.0000 0.3813 0.2500 (multiplicity 4)
Ni3 0.0000 0.4760 0.2500 (multiplicity 4)

Results
E_form, eV per atom: -0.306



Q: What is the formula in the second record?
A: Sr2PuAg



Q: Which formula does entry 3 have?
A: PrNdNi3